No. 1
A plane-wave DFT calculation with GGA-PBE was carried out for a geometry-optimized NbCoTc2H structure.

a b c (Å): 3.9479 3.9479 3.8127
angles (deg): 90.00 90.00 90.00
With the nearest neighbours (Å) after each atom.
Fractional positions:
H 0.0000 0.0000 0.0000  2 Co 1.91, 4 Tc 1.97
Nb 0.5000 0.5000 0.5000  8 Tc 2.74, 4 Co 2.79
Co 0.0000 0.0000 0.5000  2 H 1.91
Tc 0.0000 0.5000 0.0000  2 H 1.97
Tc 0.5000 0.0000 0.0000  2 H 1.97

- Relative energy among the computed polymorphs: 0 meV per atom
- N(E_F): 5.444 states/eV/f.u.



No. 2
A plane-wave DFT calculation with GGA-PBE was carried out for a geometry-optimized Nb2CoTcH structure.

a b c (Å): 4.3361 4.3361 3.3831
angles (deg): 90.00 90.00 90.00
With the nearest neighbours (Å) after each atom.
Fractional positions:
H 0.0000 0.0000 0.0000  2 Co 1.69
Nb 0.0000 0.5000 0.0000  2 H 2.17
Nb 0.5000 0.0000 0.0000  2 H 2.17
Co 0.0000 0.0000 0.5000  2 H 1.69
Tc 0.5000 0.5000 0.5000  8 Nb 2.75, 4 Co 3.07

- Relative energy among the computed polymorphs: 0 meV per atom
- N(E_F): 4.210 states/eV/f.u.



> What is the N(E_F) in the first record?

5.444 states/eV/f.u.